<P>
# SrAs2Ru (PBE-GGA, relaxed)
# - N(E_F) (states/eV/f.u.) = 1.93
# - calculated volume (Å³/cell) = 253.8
# - calculated density (g/cm3) = 6.64
# - crystal system = trigonal
data_SrAs2Ru
_chemical_formula_sum 'Sr3 As6 Ru3'
_space_group_name_H-M_alt 'R -3 m'
_space_group_IT_number 166
_space_group_name_Hall '-R 3 2"'
_cell_length_a 4.2475
_cell_length_b 4.2475
_cell_length_c 16.2411
_cell_angle_alpha 90.00
_cell_angle_beta 90.00
_cell_angle_gamma 120.00
loop_
_atom_site_label
_atom_site_type_symbol
_atom_site_fract_x
_atom_site_fract_y
_atom_site_fract_z
Sr1 Sr 0.0000 0.0000 0.0000
As1 As 0.0000 0.0000 0.2141
Ru1 Ru 0.0000 0.0000 0.5000

<Q>
# SrAs2Ru (PBE-GGA, relaxed)
# - N(E_F) (states/eV/f.u.) = 2.55
# - calculated volume (Å³/cell) = 173.5
# - calculated density (g/cm3) = 6.48
# - crystal system = orthorhombic
data_SrAs2Ru
_chemical_formula_sum 'Sr2 As4 Ru2'
_space_group_name_H-M_alt 'I m m 2'
_space_group_IT_number 44
_cell_length_a 3.479
_cell_length_b 3.593
_cell_length_c 13.877
_cell_angle_alpha 90.00
_cell_angle_beta 90.00
_cell_angle_gamma 90.00
loop_
_space_group_symop_operation_xyz
'x,y,z'
'-x,-y,z'
'-x,y,z'
'x,-y,z'
'x+1/2,y+1/2,z+1/2'
'-x+1/2,-y+1/2,z+1/2'
'-x+1/2,y+1/2,z+1/2'
'x+1/2,-y+1/2,z+1/2'
loop_
_atom_site_label
_atom_site_type_symbol
_atom_site_fract_x
_atom_site_fract_y
_atom_site_fract_z
Sr1 Sr 0.000 0.000 0.000
As1 As 0.000 0.000 0.369
As2 As 0.000 0.500 0.683
Ru1 Ru 0.000 0.500 0.251

<R>
# SrAs2Ru (PBE-GGA, relaxed)
# - N(E_F) (states/eV/f.u.) = 4.13
# - calculated volume (Å³/cell) = 82.9
# - calculated density (g/cm3) = 6.78
# - crystal system = tetragonal
data_SrAs2Ru
_chemical_formula_sum 'Sr1 As2 Ru1'
_space_group_name_H-M_alt 'P 4 m m'
_space_group_IT_number 99
_cell_length_a 3.422
_cell_length_b 3.422
_cell_length_c 7.075
_cell_angle_alpha 90.00
_cell_angle_beta 90.00
_cell_angle_gamma 90.00
loop_
_space_group_symop_operation_xyz
'x,y,z'
'-y,x,z'
'-x,-y,z'
'y,-x,z'
'-x,y,z'
'y,x,z'
'x,-y,z'
'-y,-x,z'
loop_
_atom_site_label
_atom_site_type_symbol
_atom_site_fract_x
_atom_site_fract_y
_atom_site_fract_z
Sr1 Sr 0.000 0.000 0.000
As1 As 0.000 0.000 0.533
As2 As 0.500 0.500 0.297
Ru1 Ru 0.500 0.500 0.661

<S>
# SrAs2Ru (PBE-GGA, relaxed)
# - N(E_F) (states/eV/f.u.) = 4.15
# - calculated volume (Å³/cell) = 321.0
# - calculated density (g/cm3) = 7.00
# - crystal system = cubic
data_SrAs2Ru
_chemical_formula_sum 'Sr4 As8 Ru4'
_space_group_name_H-M_alt 'F -4 3 m'
_space_group_IT_number 216
_space_group_name_Hall 'F -4 2 3'
_cell_length_a 6.847
_cell_length_b 6.847
_cell_length_c 6.847
_cell_angle_alpha 90.00
_cell_angle_beta 90.00
_cell_angle_gamma 90.00
loop_
_atom_site_label
_atom_site_type_symbol
_atom_site_fract_x
_atom_site_fract_y
_atom_site_fract_z
Sr1 Sr 0.000 0.000 0.000
As1 As 0.000 0.000 0.500
As2 As 0.250 0.250 0.750
Ru1 Ru 0.250 0.250 0.250

Most stable = <P>

<P>
# TaAsRu3 (PBE-GGA, relaxed)
# - N(E_F) (states/eV/f.u.) = 6.68
# - calculated volume (Å³/cell) = 105.1
# - calculated density (g/cm3) = 8.83
# - crystal system = cubic
data_TaAsRu3
_chemical_formula_sum 'Ta1 As1 Ru3'
_space_group_name_H-M_alt 'P m -3 m'
_space_group_IT_number 221
_space_group_name_Hall '-P 4 2 3'
_cell_length_a 4.720
_cell_length_b 4.720
_cell_length_c 4.720
_cell_angle_alpha 90.00
_cell_angle_beta 90.00
_cell_angle_gamma 90.00
loop_
_atom_site_label
_atom_site_type_symbol
_atom_site_fract_x
_atom_site_fract_y
_atom_site_fract_z
Ta1 Ta 0.000 0.000 0.000
As1 As 0.500 0.500 0.500
Ru1 Ru 0.000 0.000 0.500

<Q>
# TaAsRu3 (PBE-GGA, relaxed)
# - N(E_F) (states/eV/f.u.) = 3.99
# - calculated volume (Å³/cell) = 87.7
# - calculated density (g/cm3) = 10.58
# - crystal system = cubic
data_TaAsRu3
_chemical_formula_sum 'Ta1 As1 Ru3'
_space_group_name_H-M_alt 'P m -3 m'
_space_group_IT_number 221
_space_group_name_Hall '-P 4 2 3'
_cell_length_a 4.444
_cell_length_b 4.444
_cell_length_c 4.444
_cell_angle_alpha 90.00
_cell_angle_beta 90.00
_cell_angle_gamma 90.00
loop_
_atom_site_label
_atom_site_type_symbol
_atom_site_fract_x
_atom_site_fract_y
_atom_site_fract_z
Ta1 Ta 0.000 0.000 0.000
As1 As 0.500 0.500 0.500
Ru1 Ru 0.000 0.500 0.500

Most stable = <Q>

<P>
# TaAs3Ru (PBE-GGA, relaxed)
# - N(E_F) (states/eV/f.u.) = 3.28
# - calculated volume (Å³/cell) = 120.3
# - calculated density (g/cm3) = 6.99
# - crystal system = cubic
data_TaAs3Ru
_chemical_formula_sum 'Ta1 As3 Ru1'
_space_group_name_H-M_alt 'P m -3 m'
_space_group_IT_number 221
_space_group_name_Hall '-P 4 2 3'
_cell_length_a 4.937
_cell_length_b 4.937
_cell_length_c 4.937
_cell_angle_alpha 90.00
_cell_angle_beta 90.00
_cell_angle_gamma 90.00
loop_
_atom_site_label
_atom_site_type_symbol
_atom_site_fract_x
_atom_site_fract_y
_atom_site_fract_z
Ta1 Ta 0.000 0.000 0.000
As1 As 0.000 0.000 0.500
Ru1 Ru 0.500 0.500 0.500

<Q>
# TaAs3Ru (PBE-GGA, relaxed)
# - N(E_F) (states/eV/f.u.) = 3.20
# - calculated volume (Å³/cell) = 104.9
# - calculated density (g/cm3) = 8.02
# - crystal system = cubic
data_TaAs3Ru
_chemical_formula_sum 'Ta1 As3 Ru1'
_space_group_name_H-M_alt 'P m -3 m'
_space_group_IT_number 221
_space_group_name_Hall '-P 4 2 3'
_cell_length_a 4.716
_cell_length_b 4.716
_cell_length_c 4.716
_cell_angle_alpha 90.00
_cell_angle_beta 90.00
_cell_angle_gamma 90.00
loop_
_atom_site_label
_atom_site_type_symbol
_atom_site_fract_x
_atom_site_fract_y
_atom_site_fract_z
Ta1 Ta 0.000 0.000 0.000
As1 As 0.000 0.500 0.500
Ru1 Ru 0.500 0.500 0.500

Most stable = <P>